1.
Computed, not measured: Cd2SiRh after structural relaxation at the GGA-PBE level of DFT.

```
4
Lattice="-2.5393 -3.6183 2.7609 2.0751 -4.7791 -0.1313 1.7844 4.8108 0.9139" Properties=species:S:1:pos:R:3 pbc="T T T"
Rh 1.8136 -2.0835 1.0487
Cd -0.2322 -4.1995 1.3151
Cd -0.4642 -8.3966 2.6294
Si -0.4935 -1.5031 2.4948
```

Values from the calculation:
ΔE_f (raw)	17.2	kJ/mol of formula units
DOS at the Fermi energy	2.00	states/eV/f.u.
crystal system	tetragonal
magnetization	0.00	μB per atom
total DFT energy (no corrections)	-14.427	eV/f.u.
space-group type	No. 139

=====

2.
Computed, not measured: Sc2Hg2Br after structural relaxation at the GGA-PBE level of DFT.

```
5
Lattice="5.3116 0.0000 0.0000 0.0000 5.3116 0.0000 2.6558 2.6558 4.9421" Properties=species:S:1:pos:R:3 pbc="T T T"
Sc 5.3116 2.6558 2.4710
Sc 2.6558 5.3116 2.4710
Hg 2.6558 2.6558 1.3785
Hg 5.3116 5.3116 3.5636
Br 0.0000 0.0000 0.0000
```

Values from the calculation:
ΔE_f (raw)	-15.6	kJ/mol of formula units
relative energy among the computed polymorphs	2.49	eV/f.u.
DOS at the Fermi energy	8.36	states/eV/f.u.
crystal system	tetragonal
magnetization	0.00	μB per atom
total DFT energy (no corrections)	-15.101	eV/f.u.
space-group type	No. 139

=====

3.
Computed, not measured: Tb3TmPd12 after structural relaxation at the GGA-PBE level of DFT.

```
16
Lattice="4.1166 0.0000 0.0000 0.0000 4.1166 0.0000 0.0000 0.0000 16.5548" Properties=species:S:1:pos:R:3 pbc="T T T"
Pd 0.0000 2.0583 10.3568
Pd 0.0000 2.0583 2.0329
Pd 2.0583 0.0000 6.1981
Pd 0.0000 2.0583 14.5220
Pd 2.0583 0.0000 10.3568
Pd 2.0583 0.0000 2.0329
Pd 2.0583 2.0583 0.0000
Pd 2.0583 2.0583 8.2774
Pd 2.0583 2.0583 4.1197
Pd 0.0000 2.0583 6.1981
Pd 2.0583 2.0583 12.4352
Pd 2.0583 0.0000 14.5220
Tb 0.0000 0.0000 12.4429
Tb 0.0000 0.0000 8.2774
Tb 0.0000 0.0000 4.1119
Tm 0.0000 0.0000 0.0000
```

Values from the calculation:
DOS at the Fermi energy	12.00	states/eV/f.u.
crystal system	tetragonal
magnetization	0.00	μB per atom
energy of formation	-0.877	eV/atom
total DFT energy (no corrections)	-94.714	eV/f.u.
space-group type	No. 123